! GGA-PBEsol Sr2Al2O, relaxed; values from VASP
&SYSTEM
  ibrav = 0, nat = 5, ntyp = 3
/
ATOMIC_SPECIES
Al 26.98 Al.upf
Sr 87.62 Sr.upf
O 16.00 O.upf
CELL_PARAMETERS angstrom
-2.587 -2.426 0.495
2.389 -2.634 -0.418
1.664 2.597 8.477
ATOMIC_POSITIONS angstrom
Al -0.511 -1.179 4.505
Al 1.977 -1.283 4.048
Sr 0.172 -2.518 1.508
Sr 1.295 0.056 7.045
O 0.000 0.000 0.000
! - Energy relative to the elements, uncorrected: -0.6613 eV/atom
! - E_tot: -4.0839 eV per atom

! GGA-PBEsol SrAl22O34, relaxed; values from VASP
&SYSTEM
  ibrav = 0, nat = 114, ntyp = 3
/
ATOMIC_SPECIES
O 16.00 O.upf
Al 26.98 Al.upf
Sr 87.62 Sr.upf
CELL_PARAMETERS angstrom
-0.101 4.132 -8.795
0.908 -10.124 -4.766
-11.244 -2.236 2.608
ATOMIC_POSITIONS angstrom
O -2.623 -5.781 -8.054
O -3.242 1.576 -7.279
O -0.666 -2.525 -11.083
O -5.218 -4.114 -5.477
O -9.847 -1.222 -5.891
O -7.241 -7.965 -10.855
O -7.736 -2.677 -5.689
O -9.771 -5.704 0.129
O -0.590 -4.757 -6.767
O -7.807 -0.376 -7.298
O -1.137 0.544 -1.421
O -3.029 -2.759 -1.327
O -5.672 0.948 -3.094
O -2.752 -3.483 -9.638
O -2.524 -6.026 -10.835
O -9.300 -8.773 -9.532
O -7.411 -5.240 -6.949
O -7.417 -7.508 -5.298
O -2.475 -8.072 -6.451
O -0.857 -2.390 -8.270
O -0.862 -0.143 -9.959
O -9.846 -3.472 -4.187
O -0.686 -4.481 -3.787
O -9.598 -6.153 -5.484
O -3.243 -0.565 -2.864
O -7.194 -7.663 -8.090
O -5.044 -4.781 -10.637
O -3.016 -0.948 -8.467
O -0.514 -4.975 -9.362
O -7.598 -4.973 -4.084
O -9.385 -8.532 -6.604
O -9.474 -8.321 -3.962
O -9.335 -10.756 -2.251
O -1.101 2.528 -8.702
O -2.386 -8.301 -9.245
O -7.195 -9.804 -3.675
O -2.701 -5.551 -5.264
O -9.575 -8.086 -0.994
O -8.050 0.073 -1.708
O -0.379 -7.111 -7.875
O -0.589 -7.006 -5.063
O -1.308 2.643 -5.901
O -7.814 -2.448 -2.900
O -7.913 -2.202 -0.119
O -9.750 -3.748 -7.167
O -9.128 -10.871 -5.053
O -7.421 -7.280 -2.487
O -0.963 0.093 -6.991
O -7.692 -2.941 -8.490
O -7.407 -5.469 -9.627
O -7.962 -0.157 -4.503
O -10.058 -1.117 -3.079
O -2.839 -3.255 -6.870
O -7.685 -4.746 -1.316
O -0.425 -5.215 -12.349
O -9.923 -3.253 -1.591
O -5.392 -3.447 -0.317
O -1.052 0.304 -4.349
O -3.026 -2.988 -4.005
O -2.745 -5.287 -2.464
O -9.580 -5.838 -2.683
O -1.015 -1.932 -2.701
O -2.630 -7.852 -3.655
O -9.422 -6.297 -8.253
O -3.196 -0.264 -0.099
O -0.838 -2.075 -5.470
O -10.012 -3.013 1.396
O -3.020 -0.721 -5.655
Al -7.917 -11.473 -3.570
Al -10.292 -4.491 -5.617
Al -2.153 -1.573 -6.994
Al -0.418 0.866 -8.531
Al -0.145 -3.737 -5.337
Al -8.056 -9.193 -5.155
Al -2.007 -3.637 -2.584
Al -2.066 -1.808 -9.763
Al -8.778 0.467 -6.006
Al -2.380 0.964 -5.799
Al -3.524 -3.991 -5.414
Al -8.553 -2.036 -7.184
Al -6.603 -8.840 -2.314
Al -2.181 -1.340 -4.181
Al -8.797 -1.583 -1.579
Al -1.659 -8.696 -4.948
Al -8.202 -7.130 -9.565
Al 0.159 -0.467 -5.588
Al -1.883 -6.192 -3.769
Al -8.697 -1.818 -4.406
Al -10.744 0.551 -3.243
Al -1.870 -4.084 -8.169
Al -10.019 -9.095 -2.423
Al -8.284 -6.655 -3.960
Al -8.255 -6.889 -6.773
Al 0.454 -5.062 -2.383
Al -1.740 -6.410 -6.548
Al -1.640 -6.645 -9.375
Al -0.009 -4.197 -10.919
Al -3.834 0.612 -8.640
Al -7.058 -3.757 0.026
Al -8.567 -4.144 -2.785
Al -6.459 -9.298 -7.923
Al -3.379 -4.471 -10.979
Al -10.428 -4.031 -0.035
Al 0.000 0.000 0.000
Al 0.307 -8.779 -7.711
Al -8.430 -4.591 -8.370
Al -2.235 -1.098 -1.388
Al -6.913 -4.237 -5.540
Al -3.978 1.070 -3.031
Al -2.519 3.244 -7.384
Al -8.370 -6.421 -1.191
Al -10.595 -7.761 -5.366
Sr -5.196 -2.350 -2.610
Sr -5.241 -5.879 -8.344
! - Energy relative to the elements, uncorrected: -3.0444 eV/atom
! - E_tot: -7.7870 eV per atom

! GGA-PBEsol SrAl2O4, relaxed; values from VASP
&SYSTEM
  ibrav = 0, nat = 28, ntyp = 3
/
ATOMIC_SPECIES
O 16.00 O.upf
Al 26.98 Al.upf
Sr 87.62 Sr.upf
CELL_PARAMETERS angstrom
-5.125 0.019 0.690
0.044 -7.696 -3.426
1.061 -3.546 7.981
ATOMIC_POSITIONS angstrom
O -1.201 -4.973 5.889
O -0.306 -6.694 -1.340
O -2.143 -8.032 3.222
O -2.296 -10.773 4.142
O 0.040 -7.355 1.422
O -3.895 -3.922 5.218
O -1.428 -1.438 3.326
O -2.045 -2.631 0.760
O -2.672 -6.737 0.452
O -3.563 -5.529 7.561
O -4.289 -4.506 0.712
O 0.209 -6.513 4.071
O -2.277 -8.650 6.072
O 0.564 -9.228 3.535
O -4.488 -2.315 2.429
O -1.230 -4.285 3.024
Al -0.392 -7.833 3.067
Al -0.289 -4.845 4.394
Al -1.024 -2.743 2.213
Al -2.748 -4.400 6.474
Al -3.898 -5.819 -0.408
Al -3.798 -2.821 0.898
Al -2.805 -9.118 4.466
Al -1.098 -7.402 0.072
Sr -3.275 -5.701 2.768
Sr -3.539 -9.195 1.177
Sr -1.271 -3.762 -1.486
Sr 0.037 -3.761 7.965
! - Energy relative to the elements, uncorrected: -3.0612 eV/atom
! - E_tot: -7.4927 eV per atom

! GGA-PBEsol SrAl2O4, relaxed; values from VASP
&SYSTEM
  ibrav = 0, nat = 14, ntyp = 3
/
ATOMIC_SPECIES
Sr 87.62 Sr.upf
Al 26.98 Al.upf
O 16.00 O.upf
CELL_PARAMETERS angstrom
-4.607 0.534 2.051
3.991 -1.232 3.017
1.333 8.340 0.823
ATOMIC_POSITIONS angstrom
Sr 0.383 1.981 0.293
Sr 0.372 5.656 5.582
Al -0.297 7.794 3.074
Al -1.078 4.564 2.854
Al 1.381 -0.195 2.654
Al 1.652 3.094 3.101
O -0.256 -0.210 3.303
O 2.031 1.437 2.648
O -2.534 4.541 1.836
O -0.182 6.074 2.739
O -1.470 0.170 0.654
O 2.999 4.035 2.489
O -1.837 8.177 3.838
O 0.067 3.334 2.356
! - Energy relative to the elements, uncorrected: -3.0459 eV/atom
! - E_tot: -7.4774 eV per atom